No. 1
# PBE U2Pa3Se8, relaxed
# E above lowest polymorph ... 0.74 eV/f.u.
data_U2Pa3Se8
_cell_length_a 14.421
_cell_length_b 8.080
_cell_length_c 6.843
_cell_angle_alpha 90.00
_cell_angle_beta 106.79
_cell_angle_gamma 90.00
_space_group_name_H-M_alt 'C 1 2/m 1'
_space_group_IT_number 12
loop_
_space_group_symop_operation_xyz
'x,y,z'
'-x,-y,-z'
'-x,y,-z'
'x,-y,z'
'x+1/2,y+1/2,z'
'-x+1/2,-y+1/2,-z'
'-x+1/2,y+1/2,-z'
'x+1/2,-y+1/2,z'
loop_
_atom_site_label
_atom_site_type_symbol
_atom_site_fract_x
_atom_site_fract_y
_atom_site_fract_z
_atom_site_occupancy
U1 U 0.245 0.000 0.326 1
Pa1 Pa 0.000 0.000 0.500 1
Pa2 Pa 0.000 0.244 0.000 1
Se1 Se 0.114 0.500 0.904 1
Se2 Se 0.122 0.257 0.414 1
Se3 Se 0.129 0.000 0.906 1

***

No. 2
# PBE UPa2Se3, relaxed
# Total energy ... -7.92 eV/atom
data_UPa2Se3
_cell_length_a 4.069
_cell_length_b 4.069
_cell_length_c 17.277
_cell_angle_alpha 90.00
_cell_angle_beta 90.00
_cell_angle_gamma 90.00
_space_group_name_H-M_alt 'I 4/m m m'
_space_group_IT_number 139
_space_group_name_Hall '-I 4 2'
loop_
_atom_site_label
_atom_site_type_symbol
_atom_site_fract_x
_atom_site_fract_y
_atom_site_fract_z
_atom_site_occupancy
U1 U 0.000 0.000 0.000 1
Pa1 Pa 0.000 0.000 0.333 1
Se1 Se 0.000 0.000 0.166 1
Se2 Se 0.000 0.000 0.500 1

***

No. 3
# PBE U2Pa5Se12, relaxed
# Total energy ... -7.06 eV/atom
data_U2Pa5Se12
_cell_length_a 16.241
_cell_length_b 7.148
_cell_length_c 9.048
_cell_angle_alpha 90.00
_cell_angle_beta 104.84
_cell_angle_gamma 90.00
_space_group_name_H-M_alt 'C 1 2/m 1'
_space_group_IT_number 12
loop_
_space_group_symop_operation_xyz
'x,y,z'
'-x,-y,-z'
'-x,y,-z'
'x,-y,z'
'x+1/2,y+1/2,z'
'-x+1/2,-y+1/2,-z'
'-x+1/2,y+1/2,-z'
'x+1/2,-y+1/2,z'
loop_
_atom_site_label
_atom_site_type_symbol
_atom_site_fract_x
_atom_site_fract_y
_atom_site_fract_z
_atom_site_occupancy
U1 U 0.000 0.171 0.000 1
Pa1 Pa 0.000 0.500 0.500 1
Pa2 Pa 0.175 0.000 0.841 1
Pa3 Pa 0.189 0.000 0.345 1
Se1 Se 0.006 0.000 0.295 1
Se2 Se 0.008 0.500 0.809 1
Se3 Se 0.156 0.261 0.574 1
Se4 Se 0.176 0.256 0.098 1

***

No. 4
# PBE UPaSe2, relaxed
# E above lowest polymorph ... 0.41 eV/f.u.
data_UPaSe2
_cell_length_a 3.7721
_cell_length_b 3.7721
_cell_length_c 23.1803
_cell_angle_alpha 90.00
_cell_angle_beta 90.00
_cell_angle_gamma 120.00
_space_group_name_H-M_alt 'R 3 m'
_space_group_IT_number 160
_space_group_name_Hall 'R 3 -2"'
loop_
_atom_site_label
_atom_site_type_symbol
_atom_site_fract_x
_atom_site_fract_y
_atom_site_fract_z
_atom_site_occupancy
U1 U 0.0000 0.0000 0.0000 1
Pa1 Pa 0.0000 0.0000 0.8289 1
Se1 Se 0.0000 0.0000 0.4132 1
Se2 Se 0.0000 0.0000 0.5825 1

***

No. 5
# PBE UPaSe6, relaxed
# E above lowest polymorph ... 0.00 eV/f.u.
data_UPaSe6
_cell_length_a 4.056
_cell_length_b 4.055
_cell_length_c 24.509
_cell_angle_alpha 90.00
_cell_angle_beta 90.00
_cell_angle_gamma 90.00
_space_group_name_H-M_alt 'A m m 2'
_space_group_IT_number 38
loop_
_space_group_symop_operation_xyz
'x,y,z'
'-x,-y,z'
'-x,y,z'
'x,-y,z'
'x,y+1/2,z+1/2'
'-x,-y+1/2,z+1/2'
'-x,y+1/2,z+1/2'
'x,-y+1/2,z+1/2'
loop_
_atom_site_label
_atom_site_type_symbol
_atom_site_fract_x
_atom_site_fract_y
_atom_site_fract_z
_atom_site_occupancy
U1 U 0.000 0.000 0.000 1
Pa1 Pa 0.500 0.000 0.340 1
Se1 Se 0.000 0.000 0.255 1
Se2 Se 0.000 0.000 0.587 1
Se3 Se 0.000 0.000 0.876 1
Se4 Se 0.500 0.000 0.087 1
Se5 Se 0.500 0.000 0.464 1
Se6 Se 0.500 0.000 0.755 1

***

No. 6
# PBE UPaSe2, relaxed
# E above lowest polymorph ... 2.39 eV/f.u.
data_UPaSe2
_cell_length_a 3.6744
_cell_length_b 3.6744
_cell_length_c 28.1959
_cell_angle_alpha 90.00
_cell_angle_beta 90.00
_cell_angle_gamma 120.00
_space_group_name_H-M_alt 'R -3 m'
_space_group_IT_number 166
_space_group_name_Hall '-R 3 2"'
loop_
_atom_site_label
_atom_site_type_symbol
_atom_site_fract_x
_atom_site_fract_y
_atom_site_fract_z
_atom_site_occupancy
U1 U 0.0000 0.0000 0.0000 1
Pa1 Pa 0.0000 0.0000 0.5000 1
Se1 Se 0.0000 0.0000 0.4012 1

***

No. 7
# PBE U2PaSe, relaxed
# Total energy ... -8.96 eV/atom
data_U2PaSe
_cell_length_a 3.4434
_cell_length_b 3.4434
_cell_length_c 27.6985
_cell_angle_alpha 90.00
_cell_angle_beta 90.00
_cell_angle_gamma 120.00
_space_group_name_H-M_alt 'R -3 m'
_space_group_IT_number 166
_space_group_name_Hall '-R 3 2"'
loop_
_atom_site_label
_atom_site_type_symbol
_atom_site_fract_x
_atom_site_fract_y
_atom_site_fract_z
_atom_site_occupancy
U1 U 0.0000 0.0000 0.2428 1
Pa1 Pa 0.0000 0.0000 0.0000 1
Se1 Se 0.0000 0.0000 0.5000 1

***

No. 8
# PBE UPaSe6, relaxed
# E above lowest polymorph ... 1.10 eV/f.u.
data_UPaSe6
_cell_length_a 10.821
_cell_length_b 10.821
_cell_length_c 10.821
_cell_angle_alpha 90.00
_cell_angle_beta 90.00
_cell_angle_gamma 90.00
_space_group_name_H-M_alt 'F m -3 m'
_space_group_IT_number 225
_space_group_name_Hall '-F 4 2 3'
loop_
_atom_site_label
_atom_site_type_symbol
_atom_site_fract_x
_atom_site_fract_y
_atom_site_fract_z
_atom_site_occupancy
U1 U 0.000 0.000 0.000 1
Pa1 Pa 0.000 0.000 0.500 1
Se1 Se 0.000 0.000 0.246 1